No. 1
Computed, not measured: a relaxed CaSbTe2 crystal at the PBE level of DFT.

Properties
total DFT energy (no corrections)	-3.660	eV/atom
calculated volume	31.916	Å³/atom
spin magnetization	0.0	μB/f.u.
energy relative to the elements, uncorrected	-0.559	eV per atom

Cell and atoms, written as CIF:
```
data_CaSbTe2
_cell_length_a 4.592
_cell_length_b 5.072
_cell_length_c 10.963
_cell_angle_alpha 90.00
_cell_angle_beta 90.00
_cell_angle_gamma 90.00
_space_group_name_H-M_alt 'I m m m'
_space_group_IT_number 71
_space_group_name_Hall '-I 2 2'
loop_
_atom_site_label
_atom_site_type_symbol
_atom_site_fract_x
_atom_site_fract_y
_atom_site_fract_z
Ca1 Ca 0.000 0.000 0.000
Sb1 Sb 0.000 0.000 0.500
Te1 Te 0.000 0.500 0.188
```

---

No. 2
Computed, not measured: a relaxed Ca3SbTe4 crystal at the PBE level of DFT.

Properties
total DFT energy (no corrections)	-3.864	eV/atom
calculated volume	40.522	Å³/atom
spin magnetization	0.0	μB/f.u.
energy relative to the elements, uncorrected	-1.028	eV per atom

Cell and atoms, written as CIF:
```
data_Ca3SbTe4
_cell_length_a 6.518
_cell_length_b 10.426
_cell_length_c 9.541
_cell_angle_alpha 90.00
_cell_angle_beta 90.00
_cell_angle_gamma 90.00
_space_group_name_H-M_alt 'P m m n'
_space_group_IT_number 59
loop_
_space_group_symop_operation_xyz
'x,y,z'
'-x,-y,-z'
'-x+1/2,-y+1/2,z'
'x+1/2,y+1/2,-z'
'x+1/2,-y,-z'
'-x+1/2,y,z'
'-x,y+1/2,-z'
'x,-y+1/2,z'
loop_
_atom_site_label
_atom_site_type_symbol
_atom_site_fract_x
_atom_site_fract_y
_atom_site_fract_z
Ca1 Ca 0.250 0.004 0.167
Ca2 Ca 0.250 0.750 0.650
Sb1 Sb 0.250 0.250 0.680
Te1 Te 0.250 0.250 0.352
Te2 Te 0.250 0.502 0.838
Te3 Te 0.250 0.750 0.328
```

---

No. 3
Computed, not measured: a relaxed Ca4SbTe5 crystal at the PBE level of DFT.

Properties
total DFT energy (no corrections)	-4.004	eV/atom
calculated volume	33.019	Å³/atom
spin magnetization	0.0	μB/f.u.
energy relative to the elements, uncorrected	-1.220	eV per atom

Cell and atoms, written as CIF:
```
data_Ca4SbTe5
_cell_length_a 4.6041
_cell_length_b 4.6041
_cell_length_c 53.9588
_cell_angle_alpha 90.00
_cell_angle_beta 90.00
_cell_angle_gamma 120.00
_space_group_name_H-M_alt 'R -3 m'
_space_group_IT_number 166
_space_group_name_Hall '-R 3 2"'
loop_
_atom_site_label
_atom_site_type_symbol
_atom_site_fract_x
_atom_site_fract_y
_atom_site_fract_z
Ca1 Ca 0.0000 0.0000 0.1011
Ca2 Ca 0.0000 0.0000 0.2997
Sb1 Sb 0.0000 0.0000 0.5000
Te1 Te 0.0000 0.0000 0.0000
Te2 Te 0.0000 0.0000 0.1980
Te3 Te 0.0000 0.0000 0.4008
```